! PBE Rb2BaGeBr6, optimized geometry; values from VASP
&SYSTEM
  ibrav = 0, nat = 10, ntyp = 4
/
ATOMIC_SPECIES
Rb 85.47 Rb.upf
Ba 137.33 Ba.upf
Ge 72.64 Ge.upf
Br 79.90 Br.upf
CELL_PARAMETERS angstrom
0.000 5.950 5.950
5.950 0.000 5.950
5.950 5.950 0.000
ATOMIC_POSITIONS crystal
Rb 0.250 0.250 0.250
Rb 0.750 0.750 0.750
Ba 0.000 0.000 0.000
Ge 0.500 0.500 0.500
Br 0.265 0.265 0.735
Br 0.265 0.735 0.265
Br 0.265 0.735 0.735
Br 0.735 0.265 0.265
Br 0.735 0.265 0.735
Br 0.735 0.735 0.265
! **Calculated density**: 3391 kg/m³
! **Energy above the most stable polymorph in this dataset**: 48.4 meV/atom
! **DFT total energy**: -3.319 eV per atom
! **V**: 421.3 Å³/f.u.
! **Fermi-level density of states**: 0.00 states/eV per cell
! **Uncorrected formation energy**: -14.680 eV/f.u.